## LaCeTlHg (PBE-GGA)

Data for a relaxed LaCeTlHg crystal.

Calculated values
volume: 29.10 A^3/atom
formation energy: -0.351 eV per atom
spin magnetization: 1.23 μB/f.u.
mass density: 9.758 g/cm³

Cell lengths 3.596, 3.596, 9.002 Å; angles 90.00, 90.00, 90.00 degrees
Space group P4mm (No. 99)
Symmetry-distinct sites (fractional):
La 0.000 0.000 0.000 (multiplicity 1)
Ce 0.000 0.000 0.486 (multiplicity 1)
Tl 0.500 0.500 0.738 (multiplicity 1)
Hg 0.500 0.500 0.250 (multiplicity 1)

=====

## Ti3AsPd (PBE-GGA)

Data for a relaxed Ti3AsPd crystal.

Calculated values
volume: 21.23 A^3/atom
formation energy: 0.424 eV per atom
spin magnetization: 1.06 μB/f.u.
mass density: 5.084 g/cm³

Cell lengths 4.735, 4.735, 4.735 Å; angles 90.00, 90.00, 90.00 degrees
Space group Pm-3m (No. 221)
Symmetry-distinct sites (fractional):
Ti 0.000 0.000 0.500 (multiplicity 3)
As 0.500 0.500 0.500 (multiplicity 1)
Pd 0.000 0.000 0.000 (multiplicity 1)

=====

## La4PrNi (PBE-GGA)

Data for a relaxed La4PrNi crystal.

Calculated values
volume: 33.49 A^3/atom
formation energy: -0.063 eV per atom
spin magnetization: 0.00 μB/f.u.
mass density: 6.240 g/cm³

Cell lengths 17.495, 6.660, 7.242 Å; angles 90.00, 107.71, 90.00 degrees
Space group C2/c (No. 15)
Symmetry-distinct sites (fractional):
La 0.097 0.093 0.021 (multiplicity 8)
La 0.187 0.406 0.632 (multiplicity 8)
Pr 0.000 0.455 0.250 (multiplicity 4)
Ni 0.250 0.250 0.000 (multiplicity 4)

=====

## PPtI2O (PBE-GGA)

Data for a relaxed PPtI2O crystal.

Calculated values
volume: 23.91 A^3/atom
spin magnetization: 0.36 μB/f.u.
mass density: 6.886 g/cm³
formation energy without anion corrections: 506 meV/atom

Cell lengths 5.613, 5.613, 3.795 Å; angles 90.00, 90.00, 90.00 degrees
Space group P4/mmm (No. 123)
Symmetry-distinct sites (fractional):
P 0.000 0.000 0.000 (multiplicity 1)
Pt 0.500 0.500 0.500 (multiplicity 1)
I 0.000 0.500 0.500 (multiplicity 2)
O 0.500 0.500 0.000 (multiplicity 1)

=====

## Zn2GaNi3 (PBE-GGA)

Data for a relaxed Zn2GaNi3 crystal.

Calculated values
volume: 12.19 A^3/atom
formation energy: -0.300 eV per atom
spin magnetization: 0.00 μB/f.u.
mass density: 8.549 g/cm³

Cell lengths 4.0991, 4.0991, 5.0270 Å; angles 90.00, 90.00, 120.00 degrees
Space group P-3m1 (No. 164)
Symmetry-distinct sites (fractional):
Zn 0.3333 0.6667 0.1574 (multiplicity 2)
Ga 0.0000 0.0000 0.5000 (multiplicity 1)
Ni 0.0000 0.0000 0.0000 (multiplicity 1)
Ni 0.3333 0.6667 0.6585 (multiplicity 2)

=====

## Ca3TmRh8 (PBE-GGA)

Data for a relaxed Ca3TmRh8 crystal.

Calculated values
volume: 17.93 A^3/atom
formation energy: -0.524 eV per atom
spin magnetization: 0.00 μB/f.u.
mass density: 8.585 g/cm³

Cell lengths 5.3322, 5.3322, 26.2156 Å; angles 90.00, 90.00, 120.00 degrees
Space group R3m (No. 160, hexagonal axes)
Symmetry-distinct sites (fractional):
Ca 0.0000 0.0000 0.0000 (multiplicity 3)
Ca 0.0000 0.0000 0.1237 (multiplicity 3)
Ca 0.0000 0.0000 0.6266 (multiplicity 3)
Tm 0.0000 0.0000 0.5002 (multiplicity 3)
Rh 0.0000 0.0000 0.3127 (multiplicity 3)
Rh 0.0000 0.0000 0.8127 (multiplicity 3)
Rh 0.0018 0.5009 0.0639 (multiplicity 9)
Rh 0.1674 0.3348 0.8949 (multiplicity 9)